No. 1
A plane-wave DFT calculation with PBE-GGA was carried out for an optimized crystal structure of PmYAgPd.

## Properties
- ΔH_f (0 K) (eV/f.u.) = -2.2
- distance to the lowest polymorph of the same formula (meV/atom) = 8
- total moment (μB per formula unit) = 0.0
- mass density (Mg/m³) = 7.82
- total energy (eV per atom) = -5.36

abc: 5.1242 5.1242 5.1242
angles: 60.00 60.00 60.00
Closest atoms and distances in Å follow each position.
Element x y z (fractional)
Pm  0.0000  0.0000  0.0000  4 Pd 3.14, 4 Ag 3.14
Y  0.5000  0.5000  0.5000  4 Pd 3.14, 4 Ag 3.14
Ag  0.2500  0.2500  0.2500  4 Pm 3.14, 4 Y 3.14
Pd  0.7500  0.7500  0.7500  4 Pm 3.14, 4 Y 3.14


No. 2
A plane-wave DFT calculation with PBE-GGA was carried out for an optimized crystal structure of SmHgClO2.

## Properties
- total moment (μB per formula unit) = 0.0
- raw formation energy (meV/atom) = -1638
- mass density (Mg/m³) = 5.46
- total energy (eV per atom) = -4.99

abc: 6.7249 4.2724 9.3373
angles: 90.00 108.52 90.00
Closest atoms and distances in Å follow each position.
Element x y z (fractional)
Sm  0.2371  0.2500  0.0611  6 O 2.33-2.49
Sm  0.7629  0.7500  0.9389  6 O 2.33-2.49
Hg  0.2887  0.2500  0.4402  1 Cl 3.42, 1 Sm 3.44, 2 Hg 3.45, 2 O 3.49
Hg  0.7113  0.7500  0.5598  1 Cl 3.42, 1 Sm 3.44, 2 Hg 3.45, 2 O 3.49
Cl  0.4083  0.2500  0.8245  3 Sm 2.80-3.13, 2 O 3.07-3.10
Cl  0.5917  0.7500  0.1755  3 Sm 2.80-3.13, 2 O 3.07-3.10
O  0.1189  0.7500  0.1301  1 O 1.51
O  0.1271  0.7500  0.9701  1 O 1.51
O  0.8729  0.2500  0.0299  1 O 1.51
O  0.8811  0.2500  0.8699  1 O 1.51


No. 3
A plane-wave DFT calculation with PBE-GGA was carried out for an optimized crystal structure of YPb3O.

## Properties
- distance to the lowest polymorph of the same formula (meV/atom) = 0
- total moment (μB per formula unit) = 0.0
- raw formation energy (meV/atom) = -428
- mass density (Mg/m³) = 9.56
- total energy (eV per atom) = -4.94

abc: 5.0159 5.0159 5.0159
angles: 90.00 90.00 90.00
Closest atoms and distances in Å follow each position.
Element x y z (fractional)
Y  0.0000  0.0000  0.0000  12 Pb 3.55
Pb  0.0000  0.5000  0.5000  2 O 2.51
Pb  0.5000  0.0000  0.5000  2 O 2.51
Pb  0.5000  0.5000  0.0000  2 O 2.51
O  0.5000  0.5000  0.5000  6 Pb 2.51


Please write out number 1 again, unchanged.
A plane-wave DFT calculation with PBE-GGA was carried out for an optimized crystal structure of PmYAgPd.

## Properties
- ΔH_f (0 K) (eV/f.u.) = -2.2
- distance to the lowest polymorph of the same formula (meV/atom) = 8
- total moment (μB per formula unit) = 0.0
- mass density (Mg/m³) = 7.82
- total energy (eV per atom) = -5.36

abc: 5.1242 5.1242 5.1242
angles: 60.00 60.00 60.00
Closest atoms and distances in Å follow each position.
Element x y z (fractional)
Pm  0.0000  0.0000  0.0000  4 Pd 3.14, 4 Ag 3.14
Y  0.5000  0.5000  0.5000  4 Pd 3.14, 4 Ag 3.14
Ag  0.2500  0.2500  0.2500  4 Pm 3.14, 4 Y 3.14
Pd  0.7500  0.7500  0.7500  4 Pm 3.14, 4 Y 3.14


- What is the total energy in the second record?
  -4.99 eV per atom